[1]
Entry from Alexandria via LeMat-Bulk: a relaxed structure of Sr2Zn4InPt3 (GGA-PBE). Values from VASP.

Computed properties:
The value obtained for the total magnetization is 0.0000 μB per atom. For the calculated formation energy, the calculation gives -0.591 eV per atom. Its electronic total energy is -3.523 eV per atom.

Quantum ESPRESSO input file:
```
&SYSTEM
  ibrav = 0, nat = 10, ntyp = 4
/
ATOMIC_SPECIES
Sr 87.62 Sr.upf
Zn 65.41 Zn.upf
In 114.82 In.upf
Pt 195.08 Pt.upf
ATOMIC_POSITIONS angstrom
Sr 0.0000 2.1413 2.7076
Sr 2.1413 0.0000 8.6939
Zn 0.0000 0.0000 0.0000
Zn 0.0000 2.1413 7.3703
Zn 2.1413 0.0000 4.0311
Zn 2.1413 2.1413 0.0000
In 0.0000 0.0000 5.7007
Pt 0.0000 2.1413 9.9205
Pt 2.1413 0.0000 1.4810
Pt 2.1413 2.1413 5.7007
CELL_PARAMETERS angstrom
4.2825 0.0000 0.0000
0.0000 4.2825 0.0000
0.0000 0.0000 11.4015
```

=====

[2]
Entry from Alexandria via LeMat-Bulk: a relaxed structure of SrZnInPt2 (GGA-PBE). Values from VASP.

Computed properties:
The value obtained for the total magnetization is 0.0000 μB per atom. For the calculated formation energy, the calculation gives -0.682 eV per atom. Its electronic total energy is -4.237 eV per atom.

Quantum ESPRESSO input file:
```
&SYSTEM
  ibrav = 0, nat = 5, ntyp = 4
/
ATOMIC_SPECIES
Sr 87.62 Sr.upf
Zn 65.41 Zn.upf
In 114.82 In.upf
Pt 195.08 Pt.upf
ATOMIC_POSITIONS angstrom
Sr 0.0000 0.0000 0.0000
Zn 2.1527 0.0000 2.9650
In 0.0000 2.1527 2.9650
Pt 0.0000 0.0000 4.6015
Pt 0.0000 0.0000 7.2584
CELL_PARAMETERS angstrom
-2.1527 2.1527 5.9299
2.1527 -2.1527 5.9299
2.1527 2.1527 -5.9299
```

=====

[3]
Entry from Alexandria via LeMat-Bulk: a relaxed structure of Sr2Zn3InPt4 (GGA-PBE). Values from VASP.

Computed properties:
The value obtained for the total magnetization is 0.0000 μB per atom. For the calculated formation energy, the calculation gives -0.676 eV per atom. Its electronic total energy is -4.085 eV per atom.

Quantum ESPRESSO input file:
```
&SYSTEM
  ibrav = 0, nat = 10, ntyp = 4
/
ATOMIC_SPECIES
Sr 87.62 Sr.upf
Zn 65.41 Zn.upf
In 114.82 In.upf
Pt 195.08 Pt.upf
ATOMIC_POSITIONS angstrom
Sr 0.0000 2.1763 2.5784
Sr 2.1763 0.0000 8.4176
Zn 0.0000 2.1763 9.6192
Zn 2.1763 0.0000 1.3768
Zn 2.1763 2.1763 5.4980
In 0.0000 0.0000 5.4980
Pt 0.0000 0.0000 0.0000
Pt 0.0000 2.1763 7.0821
Pt 2.1763 0.0000 3.9139
Pt 2.1763 2.1763 0.0000
CELL_PARAMETERS angstrom
4.3526 0.0000 0.0000
0.0000 4.3526 0.0000
0.0000 0.0000 10.9960
```